# Bi2BAs2, relaxed, DFT GGA-PBE
# ΔE_f in kJ per mole of atoms: 37.9
data_Bi2BAs2
_space_group_name_H-M_alt 'P 1'
_space_group_IT_number 1
_cell_length_a 6.116
_cell_length_b 6.116
_cell_length_c 7.084
_cell_angle_alpha 90.00
_cell_angle_beta 90.00
_cell_angle_gamma 90.00
loop_
_space_group_symop_operation_xyz
'x,y,z'
loop_
_atom_site_label
_atom_site_fract_x
_atom_site_fract_y
_atom_site_fract_z
Bi1 0.000 0.500 0.250
Bi2 0.000 0.500 0.750
Bi3 0.500 0.000 0.250
Bi4 0.500 0.000 0.750
B1 0.000 0.000 0.000
B2 0.500 0.500 0.500
As1 0.000 0.000 0.272
As2 0.000 0.000 0.728
As3 0.500 0.500 0.228
As4 0.500 0.500 0.772